## AgPbAu (meta-GGA SCAN)

Data for a crystal of AgPbAu relaxed with PBEsol.

a = 6.5220 Å, b = 6.5220 Å, c = 6.5220 Å
α = 90.00°, β = 90.00°, γ = 90.00°
Space group F-43m (No. 216)
Unique sites:
1 Ag 0.0000 0.0000 0.0000 (multiplicity 4)
2 Pb 0.0000 0.0000 0.5000 (multiplicity 4)
3 Au 0.2500 0.2500 0.7500 (multiplicity 4)

Values from the calculation:
V ... 23.12 Å³/atom
VASP energy ... -705.21 eV for the cell shown